Density functional theory data (PBE-GGA) for a geometry-optimized EuCuAu2 structure.

The magnetization is 1.729 μB/atom. The calculation puts the calculated formation energy at -471 meV per atom. For the energy above the most stable polymorph in this dataset, the calculation gives 0 meV/atom.

The structure belongs to space group R-3m (No. 166, hexagonal axes); the cell edges are 4.5044, 4.5044 and 15.1668 Å and the angles 90.00°, 90.00° and 120.00°. Symmetry generates all atoms from Eu at (0.0000, 0.0000, 0.0000), Cu at (0.0000, 0.0000, 0.5000) and Au at (0.0000, 0.0000, 0.2112).

---

Density functional theory data (PBE-GGA) for a geometry-optimized EuCuAu4 structure.

The magnetization is 1.210 μB/atom. The calculation puts the calculated formation energy at -283 meV per atom.

The structure belongs to space group F-43m (No. 216); the cell edges are 7.893, 7.893 and 7.893 Å and the angles 90.00°, 90.00° and 90.00°. Symmetry generates all atoms from Eu at (0.000, 0.000, 0.000), Cu at (0.250, 0.250, 0.750) and Au at (0.124, 0.124, 0.376).

---

Density functional theory data (PBE-GGA) for a geometry-optimized EuCu2Au structure.

The magnetization is 1.766 μB/atom. The calculation puts the calculated formation energy at -265 meV per atom.

The structure belongs to space group R-3m (No. 166, hexagonal axes); the cell edges are 4.4286, 4.4286 and 14.6308 Å and the angles 90.00°, 90.00° and 120.00°. Symmetry generates all atoms from Eu at (0.0000, 0.0000, 0.0000), Cu at (0.0000, 0.0000, 0.2000) and Au at (0.0000, 0.0000, 0.5000).

---

VASP energy in eV per atom, matching the order above: -5.702; -4.863; -5.701